Computed, not measured: TlVPdCl6 after structural relaxation at the GGA-PBE level of DFT.

## Properties
DOS at the Fermi energy in states/eV/f.u.: 10.32
E_form (uncorrected) in eV per formula unit: -7.801
DFT total energy in eV/atom: -3.95

Cell lengths 6.4523, 6.4523, 7.0652 Å; angles 90.00, 90.00, 120.00 degrees
Space group P312 (No. 149)
One atom of each set of equivalent atoms:
1 Tl 0.0000 0.0000 0.0000 x1
2 V 0.6667 0.3333 0.5000 x1
3 Pd 0.3333 0.6667 0.5000 x1
4 Cl 0.3775 0.0163 0.6952 x6